1.
This record from Alexandria via LeMat-Bulk describes crystalline Li2LaY at its relaxed geometry. The functional is PBE-GGA.

Output
SG = No. 12
Relative energy among the computed polymorphs = 94 meV/atom
Calculated formation energy = 0.158 eV/atom

Cell: 5.8102 5.8102 6.0617 Å, 99.32 99.32 34.53°
Positions (direct):
Li 0.2471 0.2471 0.2294
Li 0.7529 0.7529 0.7706
La 0.0000 0.0000 0.5000
Y 0.5000 0.5000 0.0000

2.
This record from Alexandria via LeMat-Bulk describes crystalline CaTiF2 at its relaxed geometry. The functional is PBE-GGA.

Output
SG = No. 166
Relative energy among the computed polymorphs = 0 meV/atom
ΔE_f (raw) = -9.31 eV per formula unit

Cell: 6.3461 6.3461 6.3461 Å, 33.67 33.67 33.67°
Positions (direct):
Ca 0.0000 0.0000 0.0000
Ti 0.5000 0.5000 0.5000
F 0.3821 0.3821 0.3821
F 0.6179 0.6179 0.6179

3.
This record from Alexandria via LeMat-Bulk describes crystalline NpAlCr4 at its relaxed geometry. The functional is PBE-GGA.

Output
SG = No. 216
Calculated formation energy = 0.343 eV/atom

Cell: 4.9675 4.9675 4.9675 Å, 60.00 60.00 60.00°
Positions (direct):
Np 0.0000 0.0000 0.0000
Al 0.7500 0.7500 0.7500
Cr 0.3754 0.3754 0.3754
Cr 0.3754 0.3754 0.8739
Cr 0.3754 0.8739 0.3754
Cr 0.8739 0.3754 0.3754

4.
This record from Alexandria via LeMat-Bulk describes crystalline TcRh3Se at its relaxed geometry. The functional is PBE-GGA.

Output
SG = No. 221
Relative energy among the computed polymorphs = 0 meV/atom
ΔE_f (raw) = 4.57 eV per formula unit

Cell: 4.5503 4.5503 4.5503 Å, 90.00 90.00 90.00°
Positions (direct):
Tc 0.0000 0.0000 0.0000
Rh 0.0000 0.5000 0.5000
Rh 0.5000 0.0000 0.5000
Rh 0.5000 0.5000 0.0000
Se 0.5000 0.5000 0.5000

5.
This record from Alexandria via LeMat-Bulk describes crystalline Tm4Th3Sc at its relaxed geometry. The functional is PBE-GGA.

Output
SG = No. 31
Relative energy among the computed polymorphs = 0 meV/atom
Calculated formation energy = 0.045 eV/atom

Cell: 11.3323 7.0575 6.1266 Å, 90.00 90.00 90.00°
Positions (direct):
Tm 0.0000 0.1293 0.0000
Tm 0.0000 0.8684 0.5053
Tm 0.2456 0.1263 0.3442
Tm 0.2544 0.8737 0.8442
Tm 0.5000 0.1316 0.0053
Tm 0.5000 0.8707 0.5000
Tm 0.7456 0.8737 0.8442
Tm 0.7544 0.1263 0.3442
Th 0.0000 0.6266 0.0056
Th 0.2489 0.6137 0.3320
Th 0.2511 0.3863 0.8320
Th 0.5000 0.3734 0.5056
Th 0.7489 0.3863 0.8320
Th 0.7511 0.6137 0.3320
Sc 0.0000 0.3754 0.5106
Sc 0.5000 0.6246 0.0106

6.
This record from Alexandria via LeMat-Bulk describes crystalline AgPb3 at its relaxed geometry. The functional is PBE-GGA.

Output
SG = No. 194
Calculated formation energy = 0.099 eV/atom

Cell: 6.8392 6.8392 5.5451 Å, 90.00 90.00 120.00°
Positions (direct):
Ag 0.3333 0.6667 0.2500
Ag 0.6667 0.3333 0.7500
Pb 0.1713 0.3426 0.7500
Pb 0.1713 0.8287 0.7500
Pb 0.3426 0.1713 0.2500
Pb 0.6574 0.8287 0.7500
Pb 0.8287 0.1713 0.2500
Pb 0.8287 0.6574 0.2500

Number 1: total energy -3.647 eV/atom. Number 2: total energy -5.738 eV/atom. Number 3: total energy -8.853 eV/atom. Number 4: total energy -6.267 eV/atom. Number 5: total energy -5.764 eV/atom. Number 6: total energy -3.395 eV/atom.